Computed, not measured: a relaxed KMnBrF2 crystal at the PBE+U level of DFT.

Values from the calculation:
Fermi-level density of states = 0.00 states/eV/f.u.
energy = -24.9 eV/f.u.

a = 4.356 Å, b = 4.356 Å, c = 5.467 Å
α = 90.00°, β = 90.00°, γ = 90.00°
Element x y z (fractional)
1 K 0.000 0.000 0.000
2 Mn 0.500 0.500 0.500
3 Br 0.500 0.500 0.000
4 F 0.000 0.500 0.500
5 F 0.500 0.000 0.500